# 1
# FeH10N2Cl5O

FeH10N2Cl5O after structural relaxation (GGA-PBEsol, Alexandria).

Cell: 6.9192 9.8732 13.2635 Å, 90.00 90.00 90.00°
Last column: magnetic moment on the atom in μB.
Element x y z (fractional)
Fe (0.8467, 0.7500, 0.1336)  3.87
Fe (0.3467, 0.2500, 0.3664)  3.87
Fe (0.6533, 0.7500, 0.6336)  3.87
Fe (0.1533, 0.2500, 0.8664)  3.87
H (0.9485, 0.3315, 0.0346)  0.00
H (0.9485, 0.1685, 0.0346)  0.00
H (0.3837, 0.4195, 0.1012)  0.00
H (0.3837, 0.0805, 0.1012)  0.00
H (0.4072, 0.9079, 0.1001)  0.00
H (0.4072, 0.5921, 0.1001)  0.00
H (0.1896, 0.9810, 0.1268)  0.00
H (0.1896, 0.5190, 0.1268)  0.00
H (0.3708, 0.9904, 0.2113)  0.00
H (0.3708, 0.5096, 0.2113)  0.00
H (0.8708, 0.4904, 0.2887)  0.00
H (0.8708, 0.0096, 0.2887)  0.00
H (0.6896, 0.0190, 0.3732)  0.00
H (0.6896, 0.4810, 0.3732)  0.00
H (0.9072, 0.4079, 0.3999)  0.00
H (0.9072, 0.0921, 0.3999)  0.00
H (0.8837, 0.9195, 0.3988)  0.00
H (0.8837, 0.5805, 0.3988)  0.00
H (0.4485, 0.8315, 0.4654)  0.00
H (0.4485, 0.6685, 0.4654)  0.00
H (0.5515, 0.3315, 0.5346)  0.00
H (0.5515, 0.1685, 0.5346)  0.00
H (0.1163, 0.4195, 0.6012)  0.00
H (0.1163, 0.0805, 0.6012)  0.00
H (0.0928, 0.9079, 0.6001)  0.00
H (0.0928, 0.5921, 0.6001)  0.00
H (0.3104, 0.5190, 0.6268)  0.00
H (0.3104, 0.9810, 0.6268)  0.00
H (0.1292, 0.9904, 0.7113)  0.00
H (0.1292, 0.5096, 0.7113)  0.00
H (0.6292, 0.4904, 0.7887)  0.00
H (0.6292, 0.0096, 0.7887)  0.00
H (0.8104, 0.0190, 0.8732)  0.00
H (0.8104, 0.4810, 0.8732)  0.00
H (0.5928, 0.4079, 0.8999)  0.00
H (0.5928, 0.0921, 0.8999)  0.00
H (0.6163, 0.9195, 0.8988)  0.00
H (0.6163, 0.5805, 0.8988)  0.00
H (0.0515, 0.8315, 0.9654)  0.00
H (0.0515, 0.6685, 0.9654)  0.00
N (0.3389, 0.9900, 0.1346)  0.00
N (0.3389, 0.5100, 0.1346)  0.00
N (0.8389, 0.4900, 0.3654)  0.00
N (0.8389, 0.0100, 0.3654)  0.00
N (0.1611, 0.9900, 0.6346)  0.00
N (0.1611, 0.5100, 0.6346)  0.00
N (0.6611, 0.4900, 0.8654)  0.00
N (0.6611, 0.0100, 0.8654)  0.00
Cl (0.5674, 0.7500, 0.0085)  0.07
Cl (0.8591, 0.9908, 0.1153)  0.12
Cl (0.8591, 0.5092, 0.1153)  0.12
Cl (0.0971, 0.7500, 0.2429)  0.20
Cl (0.6186, 0.7500, 0.2545)  0.19
Cl (0.1186, 0.2500, 0.2455)  0.19
Cl (0.5971, 0.2500, 0.2571)  0.20
Cl (0.3591, 0.4908, 0.3847)  0.12
Cl (0.3591, 0.0092, 0.3847)  0.12
Cl (0.0674, 0.2500, 0.4915)  0.07
Cl (0.9326, 0.7500, 0.5085)  0.07
Cl (0.6409, 0.9908, 0.6153)  0.12
Cl (0.6409, 0.5092, 0.6153)  0.12
Cl (0.4029, 0.7500, 0.7429)  0.20
Cl (0.8814, 0.7500, 0.7545)  0.19
Cl (0.3814, 0.2500, 0.7455)  0.19
Cl (0.9029, 0.2500, 0.7571)  0.20
Cl (0.1409, 0.4908, 0.8847)  0.12
Cl (0.1409, 0.0092, 0.8847)  0.12
Cl (0.4326, 0.2500, 0.9915)  0.07
O (0.9685, 0.2500, 0.9921)  0.07
O (0.4685, 0.7500, 0.5079)  0.07
O (0.5315, 0.2500, 0.4921)  0.07
O (0.0315, 0.7500, 0.0079)  0.07

Summary:
E   -4.6479 eV per atom
Calculated density   2.11 g/cm3

***

# 2
# FeH8Cl2O4

FeH8Cl2O4 after structural relaxation (GGA-PBEsol, Alexandria).

Cell: 5.7308 7.2085 8.2025 Å, 90.00 109.69 90.00°
Last column: magnetic moment on the atom in μB.
Element x y z (fractional)
Fe (0.5000, 0.5000, 0.0000)  3.57
Fe (0.0000, 0.0000, 0.5000)  3.57
H (0.7396, 0.5767, 0.3486)  0.00
H (0.7604, 0.0767, 0.1514)  0.00
H (0.2604, 0.4233, 0.6514)  0.00
H (0.2396, 0.9233, 0.8486)  0.00
H (0.8976, 0.4201, 0.2973)  0.00
H (0.6024, 0.9201, 0.2027)  0.00
H (0.1024, 0.5799, 0.7027)  0.00
H (0.3976, 0.0799, 0.7973)  0.00
H (0.2970, 0.2986, 0.1925)  0.00
H (0.2030, 0.7986, 0.3075)  0.00
H (0.7030, 0.7014, 0.8075)  0.00
H (0.7970, 0.2014, 0.6925)  0.00
H (0.1090, 0.2902, 0.0014)  0.00
H (0.3910, 0.7902, 0.4986)  0.00
H (0.8910, 0.7098, 0.9986)  0.00
H (0.6090, 0.2098, 0.5014)  0.00
Cl (0.2706, 0.7655, 0.0748)  0.04
Cl (0.2294, 0.2655, 0.4252)  0.04
Cl (0.7294, 0.2345, 0.9252)  0.04
Cl (0.7706, 0.7345, 0.5748)  0.04
O (0.7469, 0.4981, 0.2509)  0.04
O (0.7531, 0.9981, 0.2491)  0.04
O (0.2531, 0.5019, 0.7491)  0.04
O (0.2469, 0.0019, 0.7509)  0.04
O (0.2878, 0.3072, 0.0694)  0.04
O (0.2122, 0.8072, 0.4306)  0.04
O (0.7122, 0.6928, 0.9306)  0.04
O (0.7878, 0.1928, 0.5694)  0.04

Summary:
E   -4.9829 eV per atom
Calculated density   2.07 g/cm3